# 1
# HoB4Os

An optimized crystal structure of HoB4Os (PBE, OQMD).

Unit cell a=5.9511 b=11.5091 c=3.5543 alpha=90.00 beta=90.00 gamma=90.00
With the nearest neighbours (Å) after each atom.
Space group Pbam (No. 55)
Inequivalent atoms, fractional coordinates:
Ho  0.1282  0.1501  0.0000  14 B 2.63-2.76
B  0.0256  0.6916  0.5000  3 B 1.74-1.88
B  0.1128  0.5469  0.5000  3 B 1.72-1.74
B  0.1358  0.9699  0.5000  3 B 1.74-1.85
B  0.2105  0.8141  0.5000  3 B 1.79-1.88
Os  0.1408  0.4065  0.0000  10 B 2.25-2.41

# 2
# HoBOs

An optimized crystal structure of HoBOs (PBE, OQMD).

Unit cell a=5.7624 b=5.7624 c=5.7624 alpha=90.00 beta=90.00 gamma=90.00
With the nearest neighbours (Å) after each atom.
Space group F-43m (No. 216)
Inequivalent atoms, fractional coordinates:
Ho  0.0000  0.0000  0.0000  4 B 2.50
B  0.2500  0.2500  0.2500  4 Ho 2.50, 4 Os 2.50
Os  0.0000  0.0000  0.5000  4 B 2.50

# 3
# HoBOs

An optimized crystal structure of HoBOs (PBE, OQMD).

Unit cell a=6.1782 b=6.1782 c=6.1782 alpha=90.00 beta=90.00 gamma=90.00
With the nearest neighbours (Å) after each atom.
Space group F-43m (No. 216)
Inequivalent atoms, fractional coordinates:
Ho  0.0000  0.0000  0.0000  4 Os 2.68, 4 B 2.68
B  0.2500  0.2500  0.7500  4 Ho 2.68
Os  0.2500  0.2500  0.2500  4 Ho 2.68

# 4
# HoB4Os

An optimized crystal structure of HoB4Os (PBE, OQMD).

Unit cell a=3.1717 b=5.3240 c=7.0819 alpha=90.00 beta=90.00 gamma=90.00
With the nearest neighbours (Å) after each atom.
Space group Immm (No. 71)
Inequivalent atoms, fractional coordinates:
Ho  0.0000  0.0000  0.0000  12 B 2.52-2.53
B  0.0000  0.3338  0.2520  3 B 1.77-1.82
Os  0.0000  0.0000  0.5000  12 B 2.50-2.55

Total moment list, top to bottom, in μB per formula unit: 0.0; 0.0; 0.0; 0.0
Calculated total energy list, top to bottom, in eV per atom: -7.68; -7.35; -5.89; -7.24